This record from Alexandria via LeMat-Bulk describes crystalline Rb2TiSeF6 at its relaxed geometry. The functional is GGA-PBE.

Properties
The calculation puts the mass density at 3.226 g cm⁻³. The magnetic moment comes out at 0.00 μB/f.u. Its final energy is -101.66 eV/cell. Its formation energy (no corrections) is -2.629 eV/atom.

Cell: 7.240 7.240 8.086 Å, 90.00 90.00 90.00°
Space group I4/mmm (No. 139)
Unique sites:
Rb1 0.000 0.500 0.250 x4
Ti1 0.000 0.000 0.000 x2
Se1 0.000 0.000 0.500 x2
F1 0.000 0.000 0.238 x4
F2 0.184 0.184 0.000 x8

This record from Alexandria via LeMat-Bulk describes crystalline FeTcP2 at its relaxed geometry. The functional is GGA-PBE.

Properties
The calculation puts the energy relative to the lowest polymorph listed for this composition at 370.3 meV per atom. The calculation puts the mass density at 7.054 g cm⁻³. The magnetic moment comes out at 0.00 μB/f.u. Its energy relative to the elements is -38 meV per atom. Its final energy is -29.80 eV/cell.

Cell: 2.912 3.570 4.886 Å, 90.00 90.00 90.00°
Space group Pmmm (No. 47)
Unique sites:
Fe1 0.000 0.000 0.000 x1
Tc1 0.500 0.000 0.500 x1
P1 0.000 0.500 0.263 x2

This record from Alexandria via LeMat-Bulk describes crystalline La3SnRh8 at its relaxed geometry. The functional is GGA-PBE.

Properties
The calculation puts the mass density at 10.047 g cm⁻³. The magnetic moment comes out at 0.00 μB/f.u. Its energy relative to the elements is -571 meV per atom. Its final energy is -253.36 eV/cell.

Cell: 5.4015 5.4015 26.6611 Å, 90.00 90.00 120.00°
Space group R3m (No. 160, hexagonal axes)
Unique sites:
La1 0.0000 0.0000 0.0000 x3
La2 0.0000 0.0000 0.1271 x3
La3 0.0000 0.0000 0.6210 x3
Sn1 0.0000 0.0000 0.4978 x3
Rh1 0.0000 0.0000 0.3121 x3
Rh2 0.0000 0.0000 0.8127 x3
Rh3 0.9999 0.4999 0.5609 x9
Rh4 0.0023 0.5012 0.0633 x9

This record from Alexandria via LeMat-Bulk describes crystalline ZrCu2SbH at its relaxed geometry. The functional is GGA-PBE.

Properties
The calculation puts the energy relative to the lowest polymorph listed for this composition at 1207.8 meV per atom. The calculation puts the mass density at 4.572 g cm⁻³. The magnetic moment comes out at 0.00 μB/f.u. Its final energy is -19.09 eV/cell.

Cell: 4.709 4.709 5.586 Å, 90.00 90.00 90.00°
Space group P4/mmm (No. 123)
Unique sites:
Zr1 0.000 0.000 0.000 x1
Cu1 0.000 0.500 0.500 x2
Sb1 0.000 0.000 0.500 x1
H1 0.500 0.500 0.000 x1

This record from Alexandria via LeMat-Bulk describes crystalline BePS2Br at its relaxed geometry. The functional is GGA-PBE.

Properties
The calculation puts the energy relative to the lowest polymorph listed for this composition at 1116.4 meV per atom. The calculation puts the mass density at 2.724 g cm⁻³. The magnetic moment comes out at 0.00 μB/f.u. Its final energy is -10.83 eV/cell. Its formation energy (no corrections) is 1.646 eV/atom.

Cell: 4.737 4.737 4.999 Å, 90.00 90.00 90.00°
Space group P4/mmm (No. 123)
Unique sites:
Be1 0.000 0.000 0.000 x1
P1 0.500 0.500 0.000 x1
S1 0.000 0.500 0.500 x2
Br1 0.500 0.500 0.500 x1

This record from Alexandria via LeMat-Bulk describes crystalline Ag4SI2 at its relaxed geometry. The functional is GGA-PBE.

Properties
The calculation puts the mass density at 6.241 g cm⁻³. The magnetic moment comes out at 0.00 μB/f.u. Its final energy is -38.14 eV/cell. Its formation energy (no corrections) is -0.063 eV/atom.

Cell: 4.980 4.980 15.390 Å, 90.00 90.00 90.00°
Space group I4/mmm (No. 139)
Unique sites:
Ag1 0.000 0.000 0.164 x4
Ag2 0.000 0.500 0.000 x4
S1 0.000 0.000 0.000 x2
I1 0.000 0.000 0.342 x4

This record from Alexandria via LeMat-Bulk describes crystalline NaPdCl at its relaxed geometry. The functional is GGA-PBE.

Properties
The calculation puts the energy relative to the lowest polymorph listed for this composition at 507.4 meV per atom. The calculation puts the mass density at 4.044 g cm⁻³. The magnetic moment comes out at 0.07 μB/f.u. Its final energy is -18.34 eV/cell. Its formation energy (no corrections) is -0.270 eV/atom.

Cell: 4.842 4.842 5.776 Å, 90.00 90.00 90.00°
Space group P4/nmm (No. 129, origin choice 2)
Unique sites:
Na1 0.250 0.250 0.216 x2
Pd1 0.250 0.250 0.721 x2
Cl1 0.250 0.750 0.500 x2

This record from Alexandria via LeMat-Bulk describes crystalline Mg2ZnW at its relaxed geometry. The functional is GGA-PBE.

Properties
The calculation puts the mass density at 7.126 g cm⁻³. The magnetic moment comes out at 1.69 μB/f.u. Its energy relative to the elements is 555 meV per atom. Its final energy is -60.78 eV/cell.

Cell: 6.524 6.524 6.524 Å, 90.00 90.00 90.00°
Space group F-43m (No. 216)
Unique sites:
Mg1 0.000 0.000 0.000 x4
Mg2 0.250 0.250 0.250 x4
Zn1 0.250 0.250 0.750 x4
W1 0.000 0.000 0.500 x4

This record from Alexandria via LeMat-Bulk describes crystalline In2FeOs at its relaxed geometry. The functional is GGA-PBE.

Properties
The calculation puts the energy relative to the lowest polymorph listed for this composition at 0.0 meV per atom. The calculation puts the mass density at 11.236 g cm⁻³. The magnetic moment comes out at 0.11 μB/f.u. Its energy relative to the elements is 329 meV per atom. Its final energy is -23.85 eV/cell.

Cell: 2.894 2.894 8.394 Å, 90.00 90.00 90.00°
Space group P4mm (No. 99)
Unique sites:
In1 0.000 0.000 0.000 x1
In2 0.500 0.500 0.348 x1
Fe1 0.500 0.500 0.771 x1
Os1 0.000 0.000 0.600 x1

This record from Alexandria via LeMat-Bulk describes crystalline EuMgAlCu at its relaxed geometry. The functional is GGA-PBE.

Properties
The calculation puts the mass density at 5.247 g cm⁻³. The magnetic moment comes out at 6.96 μB/f.u. Its energy relative to the elements is -98 meV per atom. Its final energy is -80.40 eV/cell.

Cell: 6.964 6.964 6.964 Å, 90.00 90.00 90.00°
Space group F-43m (No. 216)
Unique sites:
Eu1 0.000 0.000 0.000 x4
Mg1 0.000 0.000 0.500 x4
Al1 0.250 0.250 0.250 x4
Cu1 0.250 0.250 0.750 x4

This record from Alexandria via LeMat-Bulk describes crystalline Ca2BeAu2 at its relaxed geometry. The functional is GGA-PBE.

Properties
The calculation puts the mass density at 7.145 g cm⁻³. The magnetic moment comes out at 0.00 μB/f.u. Its energy relative to the elements is -365 meV per atom. Its final energy is -32.22 eV/cell.

Cell: 7.106 7.106 4.447 Å, 90.00 90.00 90.00°
Space group P4/mbm (No. 127)
Unique sites:
Ca1 0.168 0.332 0.000 x4
Be1 0.000 0.000 0.500 x2
Au1 0.148 0.648 0.500 x4